VASP calculation (PBE) on a relaxed structure of ZrRh3.

Cell and atoms, written as POSCAR:
```
ZrRh3
1.0
5.679 0.000 0.000
0.000 4.508 0.000
0.000 0.000 4.924
Rh Zr
6 2
direct
0.246 0.000 0.164
0.500 0.000 0.688
0.254 0.500 0.836
0.746 0.500 0.836
0.754 0.000 0.164
0.000 0.500 0.312
0.000 0.000 0.664
0.500 0.500 0.336
```

Values from the calculation:
Its density of states at the Fermi level is 0.80 states/eV per atom. Its energy of formation from the pure elements is -0.592 eV per atom.



VASP calculation (PBE) on a relaxed structure of Fe2RePb.

Cell and atoms, written as POSCAR:
```
Fe2RePb
1.0
8.793 0.005 0.003
8.290 2.931 0.003
8.290 1.425 2.562
Re Fe Pb
1 2 1
direct
0.750 0.750 0.750
0.010 0.010 0.010
0.490 0.490 0.490
0.250 0.250 0.250
```

Values from the calculation:
Its density of states at the Fermi level is 1.68 states/eV per atom. Its energy of formation from the pure elements is 0.663 eV per atom.



VASP calculation (PBE) on a relaxed structure of KCrIr2.

Cell and atoms, written as POSCAR:
```
KCrIr2
1.0
-1.480 -0.995 -2.028
-1.732 -2.520 2.501
-5.392 5.118 1.423
Ir K Cr
2 1 1
direct
0.000 0.000 0.975
0.500 0.500 0.172
0.000 0.000 0.491
0.500 0.500 0.862
```

Values from the calculation:
Its density of states at the Fermi level is 1.18 states/eV per atom. Its energy of formation from the pure elements is 0.594 eV per atom. Its energy above the most stable polymorph in this dataset is 263 meV per atom.



VASP calculation (PBE) on a relaxed structure of La8Tb2Sm.

Cell and atoms, written as POSCAR:
```
La8Tb2Sm
1.0
5.044 0.000 -1.434
-0.469 8.078 -1.650
0.041 -0.545 9.726
La Tb Sm
8 2 1
direct
0.138 0.186 0.275
0.047 0.726 0.094
0.682 0.912 0.364
0.862 0.814 0.725
0.408 0.546 0.816
0.592 0.454 0.184
0.953 0.274 0.906
0.318 0.088 0.636
0.773 0.366 0.547
0.227 0.634 0.453
0.500 0.000 0.000
```

Values from the calculation:
Its density of states at the Fermi level is 1.83 states/eV per atom. Its energy of formation from the pure elements is 0.019 eV per atom. Its energy above the most stable polymorph in this dataset is 0 meV per atom.



VASP calculation (PBE) on a relaxed structure of MgPaAs2.

Cell and atoms, written as POSCAR:
```
MgPaAs2
1.0
4.065 0.000 0.000
2.033 3.520 0.000
2.033 1.173 6.632
Pa As Mg
1 2 1
direct
0.668 0.668 0.996
0.250 0.250 0.249
0.086 0.086 0.742
0.496 0.496 0.513
```

Values from the calculation:
Its density of states at the Fermi level is 0.93 states/eV per atom. Its energy of formation from the pure elements is -0.711 eV per atom. Its energy above the most stable polymorph in this dataset is 48 meV per atom.



VASP calculation (PBE) on a relaxed structure of BaCa2H2.

Cell and atoms, written as POSCAR:
```
BaCa2H2
1.0
-2.338 1.782 -2.563
-0.260 -3.302 -2.058
-8.704 -3.290 2.684
Ca H Ba
2 2 1
direct
0.317 0.317 0.366
0.683 0.683 0.634
0.250 0.750 0.500
0.750 0.250 0.500
0.000 0.000 0.000
```

Values from the calculation:
Its density of states at the Fermi level is 0.18 states/eV per atom. Its energy above the most stable polymorph in this dataset is 0 meV per atom.



VASP calculation (PBE) on a relaxed structure of TbCe2Fe.

Cell and atoms, written as POSCAR:
```
TbCe2Fe
1.0
6.139 0.000 0.000
0.000 6.834 0.000
0.000 0.000 9.417
Tb Ce Fe
4 8 4
direct
0.127 0.940 0.750
0.373 0.440 0.750
0.873 0.060 0.250
0.627 0.560 0.250
0.641 0.849 0.569
0.141 0.651 0.431
0.859 0.349 0.569
0.359 0.151 0.431
0.641 0.849 0.931
0.359 0.151 0.069
0.141 0.651 0.069
0.859 0.349 0.931
0.117 0.434 0.250
0.883 0.566 0.750
0.617 0.066 0.750
0.383 0.934 0.250
```

Values from the calculation:
Its density of states at the Fermi level is 1.78 states/eV per atom. Its energy of formation from the pure elements is -0.070 eV per atom. Its energy above the most stable polymorph in this dataset is 0 meV per atom.



VASP calculation (PBE) on a relaxed structure of Hf3MgMn.

Cell and atoms, written as POSCAR:
```
Hf3MgMn
1.0
4.914 0.000 0.000
0.000 4.914 0.000
0.000 0.000 4.914
Hf Mg Mn
3 1 1
direct
0.500 0.000 0.000
0.000 0.000 0.500
0.000 0.500 0.000
0.000 0.000 0.000
0.500 0.500 0.500
```

Values from the calculation:
Its density of states at the Fermi level is 2.23 states/eV per atom. Its energy of formation from the pure elements is 1.861 eV per atom. Its energy above the most stable polymorph in this dataset is 1492 meV per atom.



VASP calculation (PBE) on a relaxed structure of PmPrEr6.

Cell and atoms, written as POSCAR:
```
PmPrEr6
1.0
-2.408 -2.454 -6.136
-0.938 -4.765 5.088
-3.213 6.032 1.662
Er Pr Pm
6 1 1
direct
0.250 0.250 0.751
0.250 0.751 0.250
0.750 0.750 0.249
0.249 0.750 0.750
0.750 0.249 0.750
0.751 0.250 0.250
0.500 0.500 0.500
0.000 0.000 0.000
```

Values from the calculation:
Its density of states at the Fermi level is 2.03 states/eV per atom. Its energy of formation from the pure elements is 0.249 eV per atom. Its energy above the most stable polymorph in this dataset is 0 meV per atom.



VASP calculation (PBE) on a relaxed structure of ZnSbPt.

Cell and atoms, written as POSCAR:
```
ZnSbPt
1.0
-4.015 2.993 -3.976
-3.161 0.457 -5.540
-2.753 -1.295 0.596
Zn Pt Sb
1 1 1
direct
0.361 0.361 0.639
0.985 0.985 0.015
0.654 0.654 0.346
```

Values from the calculation:
Its density of states at the Fermi level is 0.58 states/eV per atom. As for the uncorrected formation energy: -0.12 eV/atom.



Taking the records one at a time from the top gives VASP energy values of -8.2423; -7.6070; -6.5171; -4.8357; -5.8089; -2.8298; -6.3100; -6.2635; -4.3641; -3.9323 eV/atom.